# 1
Density functional theory data (PBE) for crystalline Zn2Cr2Tc at its relaxed geometry.

abc: 6.724 6.724 3.027
angles: 90.00 90.00 90.00
Atoms (fractional coordinates):
Zn: 0.126 0.374 0.000
Zn: 0.374 0.874 0.000
Zn: 0.626 0.126 0.000
Zn: 0.874 0.626 0.000
Cr: 0.175 0.675 0.500
Cr: 0.325 0.175 0.500
Cr: 0.675 0.825 0.500
Cr: 0.825 0.325 0.500
Tc: 0.000 0.000 0.000
Tc: 0.500 0.500 0.000

Results
Fermi-level density of states   8.63 states/eV/cell
DFT formation energy   432 meV per atom
Space group   P4/mbm



# 2
Density functional theory data (PBE) for crystalline ZnCrTc2 at its relaxed geometry.

abc: 2.661 4.019 5.285
angles: 90.00 102.94 90.00
Atoms (fractional coordinates):
Zn: 0.000 0.000 0.000
Cr: 0.000 0.000 0.500
Tc: 0.429 0.500 0.745
Tc: 0.571 0.500 0.255

Results
Fermi-level density of states   3.29 states/eV/cell
DFT formation energy   141 meV per atom
Space group   P2/m



# 3
Density functional theory data (PBE) for crystalline ZnCrTc4 at its relaxed geometry.

abc: 5.085 5.085 5.085
angles: 60.00 60.00 60.00
Atoms (fractional coordinates):
Zn: 0.000 0.000 0.000
Cr: 0.750 0.750 0.750
Tc: 0.375 0.375 0.375
Tc: 0.375 0.375 0.876
Tc: 0.375 0.876 0.375
Tc: 0.876 0.375 0.375

Results
Fermi-level density of states   5.43 states/eV/cell
DFT formation energy   410 meV per atom
Space group   F-43m



# 4
Density functional theory data (PBE) for crystalline ZnCrTc at its relaxed geometry.

abc: 3.047 3.047 8.774
angles: 90.00 90.00 90.00
Atoms (fractional coordinates):
Zn: 0.000 0.000 0.000
Zn: 0.500 0.500 0.500
Cr: 0.000 0.000 0.324
Cr: 0.500 0.500 0.824
Tc: 0.000 0.000 0.687
Tc: 0.500 0.500 0.187

Results
Fermi-level density of states   5.87 states/eV/cell
DFT formation energy   48 meV per atom
Space group   I4mm
Energy above the lowest structure with this stoichiometry   0 meV/atom



# 5
Density functional theory data (PBE) for crystalline ZnCrTc2 at its relaxed geometry.

abc: 2.614 4.234 5.115
angles: 90.00 103.76 90.00
Atoms (fractional coordinates):
Zn: 0.000 0.000 0.000
Cr: 0.763 0.500 0.240
Tc: 0.323 0.500 0.753
Tc: 0.588 0.000 0.485

Results
Fermi-level density of states   4.20 states/eV/cell
DFT formation energy   164 meV per atom
Space group   Pm



# 6
Density functional theory data (PBE) for crystalline Zr2CrTc at its relaxed geometry.

abc: 7.263 7.263 5.814
angles: 90.00 90.00 90.00
Atoms (fractional coordinates):
Zr: 0.241 0.750 0.125
Zr: 0.250 0.241 0.875
Zr: 0.250 0.259 0.375
Zr: 0.259 0.750 0.625
Zr: 0.741 0.250 0.625
Zr: 0.750 0.741 0.375
Zr: 0.750 0.759 0.875
Zr: 0.759 0.250 0.125
Cr: 0.000 0.000 0.500
Cr: 0.000 0.500 0.750
Cr: 0.500 0.000 0.250
Cr: 0.500 0.500 0.000
Tc: 0.000 0.000 0.000
Tc: 0.000 0.500 0.250
Tc: 0.500 0.000 0.750
Tc: 0.500 0.500 0.500

Results
Fermi-level density of states   8.52 states/eV/cell
DFT formation energy   500 meV per atom
Space group   I-42d